1.
First-principles (PBE-GGA) data for a relaxed structure of LaNp2O6, as listed in the Alexandria database.

Structure (POSCAR):
```
LaNp2O6
1.0
-1.335 2.665 -2.499
0.172 -3.740 -1.054
-8.702 -1.316 3.246
La Np O
1 2 6
direct
0.000 0.000 0.000 La
0.333 0.667 0.662 Np
0.667 0.333 0.338 Np
0.000 0.000 0.276 O
0.333 0.667 0.893 O
0.667 0.333 0.578 O
0.667 0.333 0.107 O
0.000 0.000 0.724 O
0.333 0.667 0.422 O
```

Results
The crystal system is trigonal. For the uncorrected formation energy, the calculation gives -3.209 eV/atom. For the volume, the calculation gives 13.7 Å³/atom. As for the total energy: -9.94 eV per atom.


2.
First-principles (PBE-GGA) data for a relaxed structure of LaNp2O8, as listed in the Alexandria database.

Structure (POSCAR):
```
LaNp2O8
1.0
4.229 0.000 0.000
-0.001 6.174 -3.566
0.000 -0.002 7.131
La Np O
1 2 8
direct
0.000 0.000 0.000 La
0.258 0.333 0.667 Np
0.742 0.667 0.333 Np
0.240 0.667 0.333 O
0.760 0.333 0.667 O
0.744 0.824 0.175 O
0.256 0.175 0.352 O
0.257 0.648 0.823 O
0.256 0.176 0.825 O
0.744 0.825 0.648 O
0.743 0.352 0.176 O
```

Results
The crystal system is trigonal. For the uncorrected formation energy, the calculation gives -2.550 eV/atom. For the volume, the calculation gives 16.9 Å³/atom. As for the total energy: -8.96 eV per atom.


3.
First-principles (PBE-GGA) data for a relaxed structure of La3Np5O12, as listed in the Alexandria database.

Structure (POSCAR):
```
La3Np5O12
1.0
-2.171 11.064 4.247
-4.467 -8.180 7.634
11.888 -1.614 -1.111
Np O La
20 48 12
direct
0.125 0.375 0.250 Np
0.000 0.500 0.000 Np
0.000 0.000 0.000 Np
0.375 0.250 0.125 Np
0.500 0.000 0.500 Np
0.500 0.500 0.000 Np
0.125 0.750 0.375 Np
0.750 0.125 0.875 Np
0.750 0.625 0.375 Np
0.375 0.125 0.750 Np
0.625 0.875 0.250 Np
0.500 0.500 0.500 Np
0.500 0.000 0.000 Np
0.000 0.000 0.500 Np
0.250 0.375 0.625 Np
0.250 0.875 0.125 Np
0.000 0.500 0.500 Np
0.875 0.250 0.625 Np
0.625 0.750 0.875 Np
0.875 0.625 0.750 Np
0.714 0.129 0.041 O
0.327 0.541 0.412 O
0.959 0.371 0.286 O
0.541 0.214 0.129 O
0.585 0.714 0.673 O
0.959 0.588 0.173 O
0.327 0.786 0.415 O
0.088 0.915 0.129 O
0.588 0.959 0.673 O
0.714 0.585 0.173 O
0.786 0.459 0.371 O
0.827 0.912 0.041 O
0.129 0.714 0.541 O
0.371 0.412 0.085 O
0.085 0.912 0.371 O
0.415 0.129 0.588 O
0.085 0.173 0.214 O
0.459 0.673 0.088 O
0.827 0.915 0.286 O
0.129 0.415 0.088 O
0.371 0.959 0.786 O
0.588 0.629 0.415 O
0.912 0.827 0.541 O
0.786 0.327 0.915 O
0.412 0.371 0.585 O
0.088 0.173 0.459 O
0.214 0.673 0.085 O
0.173 0.085 0.714 O
0.629 0.041 0.214 O
0.871 0.585 0.912 O
0.541 0.327 0.912 O
0.585 0.871 0.412 O
0.915 0.827 0.786 O
0.915 0.088 0.629 O
0.871 0.286 0.459 O
0.173 0.088 0.959 O
0.629 0.588 0.915 O
0.412 0.041 0.327 O
0.286 0.415 0.827 O
0.214 0.541 0.629 O
0.912 0.085 0.871 O
0.673 0.214 0.585 O
0.459 0.786 0.871 O
0.041 0.412 0.827 O
0.415 0.286 0.327 O
0.041 0.629 0.714 O
0.673 0.459 0.588 O
0.286 0.871 0.959 O
0.750 0.375 0.125 La
0.875 0.750 0.125 La
0.375 0.750 0.625 La
0.250 0.125 0.375 La
0.875 0.125 0.250 La
0.375 0.625 0.250 La
0.625 0.375 0.750 La
0.125 0.875 0.750 La
0.750 0.875 0.625 La
0.625 0.250 0.375 La
0.125 0.250 0.875 La
0.250 0.625 0.875 La
```

Results
The crystal system is cubic. For the uncorrected formation energy, the calculation gives -2.906 eV/atom. For the volume, the calculation gives 16.8 Å³/atom. As for the total energy: -9.86 eV per atom.


4.
First-principles (PBE-GGA) data for a relaxed structure of LaNpPbO6, as listed in the Alexandria database.

Structure (POSCAR):
```
LaNpPbO6
1.0
6.119 0.000 0.000
-3.059 5.299 0.000
0.000 0.000 9.653
La Np Pb O
2 2 2 12
direct
0.333 0.667 0.250 La
0.667 0.333 0.750 La
0.667 0.333 0.250 Np
0.333 0.667 0.750 Np
0.000 0.000 0.000 Pb
0.000 0.000 0.500 Pb
0.657 0.611 0.140 O
0.954 0.343 0.140 O
0.343 0.954 0.640 O
0.046 0.657 0.860 O
0.389 0.343 0.360 O
0.954 0.611 0.360 O
0.611 0.954 0.860 O
0.657 0.046 0.360 O
0.046 0.389 0.640 O
0.389 0.046 0.140 O
0.611 0.657 0.640 O
0.343 0.389 0.860 O
```

Results
The crystal system is trigonal. For the uncorrected formation energy, the calculation gives -2.509 eV/atom. For the volume, the calculation gives 17.4 Å³/atom. As for the total energy: -8.21 eV per atom.


5.
First-principles (PBE-GGA) data for a relaxed structure of LaNpPb2O6, as listed in the Alexandria database.

Structure (POSCAR):
```
LaNpPb2O6
1.0
-4.238 -1.915 3.860
4.403 -3.068 3.312
1.225 7.142 4.987
La Np Pb O
2 2 4 12
direct
0.500 0.000 0.000 La
0.000 0.500 0.500 La
0.500 0.000 0.500 Np
0.000 0.500 0.000 Np
0.003 0.965 0.255 Pb
0.503 0.535 0.755 Pb
0.997 0.035 0.745 Pb
0.497 0.465 0.245 Pb
0.297 0.675 0.047 O
0.797 0.825 0.547 O
0.703 0.325 0.953 O
0.203 0.175 0.453 O
0.329 0.713 0.443 O
0.829 0.787 0.943 O
0.671 0.287 0.557 O
0.171 0.213 0.057 O
0.889 0.540 0.237 O
0.389 0.960 0.737 O
0.111 0.460 0.763 O
0.611 0.040 0.263 O
```

Results
The crystal system is monoclinic. For the uncorrected formation energy, the calculation gives -2.326 eV/atom. For the volume, the calculation gives 16.8 Å³/atom. As for the total energy: -7.83 eV per atom.


6.
First-principles (PBE-GGA) data for a relaxed structure of La2PrNpO8, as listed in the Alexandria database.

Structure (POSCAR):
```
La2PrNpO8
1.0
-0.471 1.567 3.725
3.506 -4.125 1.643
6.015 4.638 -1.191
La Pr Np O
2 1 1 8
direct
0.500 0.500 0.746 La
0.500 0.500 0.254 La
0.000 0.000 0.500 Pr
0.000 0.000 0.000 Np
0.038 0.773 0.213 O
0.567 0.789 0.000 O
0.962 0.227 0.213 O
0.962 0.227 0.787 O
0.433 0.211 0.000 O
0.038 0.773 0.787 O
0.497 0.745 0.500 O
0.503 0.255 0.500 O
```

Results
The crystal system is monoclinic. For the uncorrected formation energy, the calculation gives -3.158 eV/atom. For the volume, the calculation gives 14.7 Å³/atom. As for the total energy: -8.76 eV per atom.


7.
First-principles (PBE-GGA) data for a relaxed structure of LaPrNpO6, as listed in the Alexandria database.

Structure (POSCAR):
```
LaPrNpO6
1.0
6.024 0.000 0.000
-3.012 5.217 0.000
0.000 0.000 9.504
La Pr Np O
2 2 2 12
direct
0.333 0.667 0.250 La
0.667 0.333 0.750 La
0.000 0.000 0.000 Pr
0.000 0.000 0.500 Pr
0.667 0.333 0.250 Np
0.333 0.667 0.750 Np
0.672 0.630 0.135 O
0.958 0.328 0.135 O
0.328 0.958 0.635 O
0.042 0.672 0.865 O
0.370 0.328 0.365 O
0.958 0.630 0.365 O
0.630 0.958 0.865 O
0.672 0.042 0.365 O
0.042 0.370 0.635 O
0.370 0.042 0.135 O
0.630 0.672 0.635 O
0.328 0.370 0.865 O
```

Results
The crystal system is trigonal. For the uncorrected formation energy, the calculation gives -3.129 eV/atom. For the volume, the calculation gives 16.6 Å³/atom. As for the total energy: -8.95 eV per atom.


8.
First-principles (PBE-GGA) data for a relaxed structure of Rb3La3NpO8, as listed in the Alexandria database.

Structure (POSCAR):
```
Rb3La3NpO8
1.0
-0.047 2.606 -6.919
1.804 -7.055 1.281
-7.570 2.092 0.839
Rb La Np O
3 3 1 8
direct
0.000 0.000 0.000 Rb
0.000 0.500 0.000 Rb
0.500 0.500 0.000 Rb
0.500 0.000 0.500 La
0.500 0.500 0.500 La
0.000 0.500 0.500 La
0.000 0.000 0.500 Np
0.275 0.550 0.325 O
0.725 0.450 0.675 O
0.790 0.580 0.333 O
0.210 0.420 0.667 O
0.790 0.043 0.333 O
0.210 0.957 0.667 O
0.253 0.043 0.333 O
0.747 0.957 0.667 O
```

Results
The crystal system is trigonal. For the uncorrected formation energy, the calculation gives -2.705 eV/atom. For the volume, the calculation gives 21.0 Å³/atom. As for the total energy: -7.39 eV per atom.


9.
First-principles (PBE-GGA) data for a relaxed structure of Rb2La2NpO6, as listed in the Alexandria database.

Structure (POSCAR):
```
Rb2La2NpO6
1.0
-2.514 4.789 3.317
-2.876 -2.014 -5.285
-1.874 -5.236 4.220
Rb La Np O
2 2 1 6
direct
0.835 0.165 0.000 Rb
0.165 0.835 0.000 Rb
0.334 0.666 0.500 La
0.666 0.334 0.500 La
0.000 0.000 0.500 Np
0.755 0.755 0.667 O
0.044 0.366 0.665 O
0.245 0.245 0.333 O
0.366 0.044 0.665 O
0.956 0.634 0.335 O
0.634 0.956 0.335 O
```

Results
The crystal system is monoclinic. For the uncorrected formation energy, the calculation gives -2.724 eV/atom. For the volume, the calculation gives 21.3 Å³/atom. As for the total energy: -7.68 eV per atom.


10.
First-principles (PBE-GGA) data for a relaxed structure of Rb2LaNp3O12, as listed in the Alexandria database.

Structure (POSCAR):
```
Rb2LaNp3O12
1.0
7.762 -0.167 -0.119
3.688 6.832 -0.119
3.688 2.147 6.487
Rb La Np O
2 1 3 12
direct
0.630 0.630 0.630 Rb
0.370 0.370 0.370 Rb
0.000 0.000 0.000 La
0.500 0.000 0.000 Np
0.000 0.500 0.000 Np
0.000 0.000 0.500 Np
0.298 0.298 0.924 O
0.910 0.910 0.368 O
0.368 0.910 0.910 O
0.924 0.298 0.298 O
0.910 0.368 0.910 O
0.298 0.924 0.298 O
0.702 0.702 0.076 O
0.090 0.090 0.632 O
0.632 0.090 0.090 O
0.076 0.702 0.702 O
0.090 0.632 0.090 O
0.702 0.076 0.702 O
```

Results
The crystal system is trigonal. For the uncorrected formation energy, the calculation gives -2.733 eV/atom. For the volume, the calculation gives 19.6 Å³/atom. As for the total energy: -8.58 eV per atom.


11.
First-principles (PBE-GGA) data for a relaxed structure of RbLaNpO6, as listed in the Alexandria database.

Structure (POSCAR):
```
RbLaNpO6
1.0
-4.726 -2.218 1.881
0.811 -4.453 -3.211
5.522 -4.864 8.141
Rb La Np O
2 2 2 12
direct
0.500 0.500 0.497 Rb
0.000 0.000 0.997 Rb
0.500 0.500 0.167 La
0.000 0.000 0.667 La
0.500 0.500 0.834 Np
0.000 0.000 0.334 Np
0.159 0.841 0.478 O
0.841 0.159 0.478 O
0.341 0.341 0.978 O
0.659 0.659 0.978 O
0.198 0.802 0.215 O
0.802 0.198 0.215 O
0.302 0.302 0.715 O
0.698 0.698 0.715 O
0.756 0.244 0.808 O
0.244 0.756 0.808 O
0.744 0.744 0.308 O
0.256 0.256 0.308 O
```

Results
The crystal system is tetragonal. For the uncorrected formation energy, the calculation gives -2.432 eV/atom. For the volume, the calculation gives 18.8 Å³/atom. As for the total energy: -7.83 eV per atom.


12.
First-principles (PBE-GGA) data for a relaxed structure of LaNpRhO6, as listed in the Alexandria database.

Structure (POSCAR):
```
LaNpRhO6
1.0
5.786 0.000 0.000
-2.893 5.010 0.000
0.000 0.000 8.432
La Np Rh O
2 2 2 12
direct
0.333 0.667 0.250 La
0.667 0.333 0.750 La
0.667 0.333 0.250 Np
0.333 0.667 0.750 Np
0.000 0.000 0.000 Rh
0.000 0.000 0.500 Rh
0.705 0.658 0.120 O
0.952 0.295 0.120 O
0.295 0.952 0.620 O
0.048 0.705 0.880 O
0.342 0.295 0.380 O
0.952 0.658 0.380 O
0.658 0.952 0.880 O
0.705 0.048 0.380 O
0.048 0.342 0.620 O
0.342 0.048 0.120 O
0.658 0.705 0.620 O
0.295 0.342 0.880 O
```

Results
The crystal system is trigonal. For the uncorrected formation energy, the calculation gives -2.180 eV/atom. For the volume, the calculation gives 13.6 Å³/atom. As for the total energy: -8.29 eV per atom.